LiZr2RuO | GGA-PBE | optimized geometry

Output
ΔE_f (raw)   -1.25 eV/atom

Unit cell a=4.5280 b=4.5280 c=3.5840 alpha=90.00 beta=90.00 gamma=90.00
With the nearest neighbours (Å) after each atom.
Positions (direct):
Ru1 0.5000 0.5000 0.5000  8 Zr 2.89, 4 Li 3.20
O1 0.0000 0.0000 0.0000  2 Li 1.79
Zr1 0.0000 0.5000 0.0000  2 O 2.26
Zr2 0.5000 0.0000 0.0000  2 O 2.26
Li1 0.0000 0.0000 0.5000  2 O 1.79